a) VASP calculation (PBE-GGA) on a geometry-optimized Sc2OsPbC structure.

Summary:
magnetic moment = 0.000 μB per atom
theoretical density = 9.489 Mg/m³

```
Sc2OsPbC
1.0
4.687 0.000 0.000
0.000 4.687 0.000
0.000 0.000 3.978
Sc Os Pb C
2 1 1 1
Direct
0.000 0.500 0.000 Sc
0.500 0.000 0.000 Sc
0.000 0.000 0.500 Os
0.500 0.500 0.500 Pb
0.000 0.000 0.000 C
```

---

b) VASP calculation (PBE-GGA) on a geometry-optimized Sc2OsPbC structure.

Summary:
magnetic moment = 0.000 μB per atom
theoretical density = 5.895 Mg/m³

```
Sc2OsPbC
1.0
5.343 0.000 0.000
0.000 5.343 0.000
0.000 0.000 4.928
Sc Os Pb C
2 1 1 1
Direct
0.000 0.500 0.000 Sc
0.500 0.000 0.000 Sc
0.000 0.000 0.500 Os
0.000 0.000 0.000 Pb
0.500 0.500 0.500 C
```

---

Quick one: least stable of them? b)

---

a) VASP calculation (PBE-GGA) on a geometry-optimized OsPd3C structure.

Summary:
magnetic moment = 0.307 μB per atom
theoretical density = 7.786 Mg/m³

```
OsPd3C
1.0
4.809 0.000 0.000
0.000 4.809 0.000
0.000 0.000 4.809
Os Pd C
1 3 1
Direct
0.000 0.000 0.000 Os
0.000 0.000 0.500 Pd
0.000 0.500 0.000 Pd
0.500 0.000 0.000 Pd
0.500 0.500 0.500 C
```

---

b) VASP calculation (PBE-GGA) on a geometry-optimized OsPd3C structure.

Summary:
magnetic moment = 0.000 μB per atom
theoretical density = 12.366 Mg/m³

```
OsPd3C
1.0
4.122 0.000 0.000
0.000 4.122 0.000
0.000 0.000 4.122
Os Pd C
1 3 1
Direct
0.000 0.000 0.000 Os
0.000 0.500 0.500 Pd
0.500 0.000 0.500 Pd
0.500 0.500 0.000 Pd
0.500 0.500 0.500 C
```

---

Quick one: least stable of them? a)

---

a) VASP calculation (PBE-GGA) on a geometry-optimized OsPdC2 structure.

Summary:
magnetic moment = 0.000 μB per atom
theoretical density = 13.033 Mg/m³

```
OsPdC2
1.0
0.000 2.734 2.734
2.734 0.000 2.734
2.734 2.734 0.000
Os Pd C
1 1 2
Direct
0.000 0.000 0.000 Os
0.500 0.500 0.500 Pd
0.250 0.250 0.250 C
0.750 0.750 0.750 C
```

---

b) VASP calculation (PBE-GGA) on a geometry-optimized OsPdC2 structure.

Summary:
magnetic moment = 0.000 μB per atom
theoretical density = 10.392 Mg/m³

```
OsPdC2
1.0
-2.342 2.342 4.669
2.342 -2.342 4.669
2.342 2.342 -4.669
Os Pd C
2 2 4
Direct
0.000 0.000 0.000 Os
0.750 0.250 0.500 Os
0.250 0.750 0.500 Pd
0.500 0.500 0.000 Pd
0.092 0.625 0.967 C
0.375 0.342 0.467 C
0.658 0.125 0.033 C
0.875 0.908 0.533 C
```

---

Quick one: least stable of them? a)

---

a) VASP calculation (PBE-GGA) on a geometry-optimized PmOsC2 structure.

Summary:
magnetic moment = 0.000 μB per atom
theoretical density = 11.404 Mg/m³

```
PmOsC2
1.0
1.679 0.969 5.358
-1.679 0.969 5.358
0.000 -1.938 5.358
Pm Os C
1 1 2
Direct
0.000 0.000 0.000 Pm
0.500 0.500 0.500 Os
0.229 0.229 0.229 C
0.771 0.771 0.771 C
```

---

b) VASP calculation (PBE-GGA) on a geometry-optimized PmOsC2 structure.

Summary:
magnetic moment = 0.000 μB per atom
theoretical density = 10.695 Mg/m³

```
PmOsC2
1.0
2.204 -4.791 0.000
2.204 4.791 0.000
0.000 0.000 5.282
Pm Os C
2 2 4
Direct
0.185 0.815 0.750 Pm
0.815 0.185 0.250 Pm
0.500 0.500 0.000 Os
0.500 0.500 0.500 Os
0.079 0.235 0.750 C
0.235 0.079 0.250 C
0.765 0.921 0.750 C
0.921 0.765 0.250 C
```

---

Quick one: least stable of them? a)

---

a) VASP calculation (PBE-GGA) on a geometry-optimized OsPt3C structure.

Summary:
magnetic moment = 0.249 μB per atom
theoretical density = 11.671 Mg/m³

```
OsPt3C
1.0
4.821 0.000 0.000
0.000 4.821 0.000
0.000 0.000 4.821
Os Pt C
1 3 1
Direct
0.000 0.000 0.000 Os
0.000 0.000 0.500 Pt
0.000 0.500 0.000 Pt
0.500 0.000 0.000 Pt
0.500 0.500 0.500 C
```

---

b) VASP calculation (PBE-GGA) on a geometry-optimized OsPt3C structure.

Summary:
magnetic moment = 0.239 μB per atom
theoretical density = 18.215 Mg/m³

```
OsPt3C
1.0
4.156 0.000 0.000
0.000 4.156 0.000
0.000 0.000 4.156
Os Pt C
1 3 1
Direct
0.000 0.000 0.000 Os
0.000 0.500 0.500 Pt
0.500 0.000 0.500 Pt
0.500 0.500 0.000 Pt
0.500 0.500 0.500 C
```

---

Quick one: least stable of them? a)

---

a) VASP calculation (PBE-GGA) on a geometry-optimized PuOsC structure.

Summary:
magnetic moment = 1.924 μB per atom
theoretical density = 14.998 Mg/m³

```
PuOsC
1.0
3.442 0.000 0.000
-1.721 2.981 0.000
0.000 0.000 4.815
Pu Os C
1 1 1
Direct
0.000 0.000 0.000 Pu
0.667 0.333 0.500 Os
0.333 0.667 0.500 C
```

---

b) VASP calculation (PBE-GGA) on a geometry-optimized PuOsC structure.

Summary:
magnetic moment = 1.802 μB per atom
theoretical density = 13.955 Mg/m³

```
PuOsC
1.0
6.323 3.651 2.300
-6.323 3.651 2.300
0.000 -7.301 2.300
Pu Os C
6 6 6
Direct
0.134 0.411 0.451 Pu
0.411 0.451 0.134 Pu
0.451 0.134 0.411 Pu
0.549 0.866 0.589 Pu
0.589 0.549 0.866 Pu
0.866 0.589 0.549 Pu
0.014 0.610 0.193 Os
0.193 0.014 0.610 Os
0.390 0.807 0.986 Os
0.610 0.193 0.014 Os
0.807 0.986 0.390 Os
0.986 0.390 0.807 Os
0.129 0.246 0.705 C
0.246 0.705 0.129 C
0.295 0.871 0.754 C
0.705 0.129 0.246 C
0.754 0.295 0.871 C
0.871 0.754 0.295 C
```

---

Quick one: least stable of them? b)

---

a) VASP calculation (PBE-GGA) on a geometry-optimized RbOsC3 structure.

Summary:
magnetic moment = 0.000 μB per atom
theoretical density = 7.387 Mg/m³

```
RbOsC3
1.0
4.123 0.000 0.000
0.000 4.123 0.000
0.000 0.000 4.123
Rb Os C
1 1 3
Direct
0.000 0.000 0.000 Rb
0.500 0.500 0.500 Os
0.000 0.000 0.500 C
0.000 0.500 0.000 C
0.500 0.000 0.000 C
```

---

b) VASP calculation (PBE-GGA) on a geometry-optimized RbOsC3 structure.

Summary:
magnetic moment = 0.382 μB per atom
theoretical density = 7.418 Mg/m³

```
RbOsC3
1.0
4.117 0.000 0.000
0.000 4.117 0.000
0.000 0.000 4.117
Rb Os C
1 1 3
Direct
0.000 0.000 0.000 Rb
0.500 0.500 0.500 Os
0.000 0.500 0.500 C
0.500 0.000 0.500 C
0.500 0.500 0.000 C
```

---

Quick one: least stable of them? a)

---

a) VASP calculation (PBE-GGA) on a geometry-optimized RbOsC2 structure.

Summary:
magnetic moment = 0.000 μB per atom
theoretical density = 6.002 Mg/m³

```
RbOsC2
1.0
-3.081 3.081 4.367
3.081 -3.081 4.367
3.081 3.081 -4.367
Rb Os C
2 2 4
Direct
0.375 0.625 0.750 Rb
0.625 0.375 0.250 Rb
0.125 0.875 0.250 Os
0.875 0.125 0.750 Os
0.000 0.000 0.000 C
0.000 0.000 0.500 C
0.000 0.500 0.000 C
0.500 0.000 0.500 C
```

---

b) VASP calculation (PBE-GGA) on a geometry-optimized RbOsC2 structure.

Summary:
magnetic moment = 0.176 μB per atom
theoretical density = 9.191 Mg/m³

```
RbOsC2
1.0
0.000 3.003 3.003
3.003 0.000 3.003
3.003 3.003 0.000
Rb Os C
1 1 2
Direct
0.000 0.000 0.000 Rb
0.500 0.500 0.500 Os
0.250 0.250 0.250 C
0.750 0.750 0.750 C
```

---

Quick one: least stable of them? b)

---

a) VASP calculation (PBE-GGA) on a geometry-optimized ReOsC3 structure.

Summary:
magnetic moment = 0.000 μB per atom
theoretical density = 10.997 Mg/m³

```
ReOsC3
1.0
3.964 0.000 0.000
0.000 3.964 0.000
0.000 0.000 3.964
Re Os C
1 1 3
Direct
0.000 0.000 0.000 Re
0.500 0.500 0.500 Os
0.000 0.000 0.500 C
0.000 0.500 0.000 C
0.500 0.000 0.000 C
```

---

b) VASP calculation (PBE-GGA) on a geometry-optimized ReOsC3 structure.

Summary:
magnetic moment = 0.000 μB per atom
theoretical density = 11.355 Mg/m³

```
ReOsC3
1.0
3.922 0.000 0.000
0.000 3.922 0.000
0.000 0.000 3.922
Re Os C
1 1 3
Direct
0.000 0.000 0.000 Re
0.500 0.500 0.500 Os
0.000 0.500 0.500 C
0.500 0.000 0.500 C
0.500 0.500 0.000 C
```

---

Quick one: least stable of them? b)

---

a) VASP calculation (PBE-GGA) on a geometry-optimized ReOsC2 structure.

Summary:
magnetic moment = 0.000 μB per atom
theoretical density = 16.943 Mg/m³

```
ReOsC2
1.0
0.000 2.697 2.697
2.697 0.000 2.697
2.697 2.697 0.000
Re Os C
1 1 2
Direct
0.000 0.000 0.000 Re
0.500 0.500 0.500 Os
0.250 0.250 0.250 C
0.750 0.750 0.750 C
```

---

b) VASP calculation (PBE-GGA) on a geometry-optimized ReOsC2 structure.

Summary:
magnetic moment = 0.000 μB per atom
theoretical density = 13.369 Mg/m³

```
ReOsC2
1.0
-2.322 2.322 4.612
2.322 -2.322 4.612
2.322 2.322 -4.612
Re Os C
2 2 4
Direct
0.000 0.000 0.000 Re
0.750 0.250 0.500 Re
0.250 0.750 0.500 Os
0.500 0.500 0.000 Os
0.128 0.625 0.003 C
0.375 0.378 0.503 C
0.622 0.125 0.997 C
0.875 0.872 0.497 C
```

---

Quick one: least stable of them? a)

---

a) VASP calculation (PBE-GGA) on a geometry-optimized OsRh3C structure.

Summary:
magnetic moment = 0.172 μB per atom
theoretical density = 8.202 Mg/m³

```
OsRh3C
1.0
4.694 0.000 0.000
0.000 4.694 0.000
0.000 0.000 4.694
Os Rh C
1 3 1
Direct
0.000 0.000 0.000 Os
0.000 0.000 0.500 Rh
0.000 0.500 0.000 Rh
0.500 0.000 0.000 Rh
0.500 0.500 0.500 C
```

---

b) VASP calculation (PBE-GGA) on a geometry-optimized OsRh3C structure.

Summary:
magnetic moment = 0.000 μB per atom
theoretical density = 12.811 Mg/m³

```
OsRh3C
1.0
4.046 0.000 0.000
0.000 4.046 0.000
0.000 0.000 4.046
Os Rh C
1 3 1
Direct
0.000 0.000 0.000 Os
0.000 0.500 0.500 Rh
0.500 0.000 0.500 Rh
0.500 0.500 0.000 Rh
0.500 0.500 0.500 C
```

---

Quick one: least stable of them? a)

---

a) VASP calculation (PBE-GGA) on a geometry-optimized OsRuC2 structure.

Summary:
magnetic moment = 0.000 μB per atom
theoretical density = 10.825 Mg/m³

```
OsRuC2
1.0
-2.295 2.295 4.593
2.295 -2.295 4.593
2.295 2.295 -4.593
Os Ru C
2 2 4
Direct
0.000 0.000 0.000 Os
0.750 0.250 0.500 Os
0.250 0.750 0.500 Ru
0.500 0.500 0.000 Ru
0.121 0.625 0.996 C
0.375 0.371 0.496 C
0.629 0.125 0.004 C
0.875 0.879 0.504 C
```

---

b) VASP calculation (PBE-GGA) on a geometry-optimized OsRuC2 structure.

Summary:
magnetic moment = 0.000 μB per atom
theoretical density = 13.529 Mg/m³

```
OsRuC2
1.0
0.000 2.685 2.685
2.685 0.000 2.685
2.685 2.685 0.000
Os Ru C
1 1 2
Direct
0.000 0.000 0.000 Os
0.500 0.500 0.500 Ru
0.250 0.250 0.250 C
0.750 0.750 0.750 C
```

---

Quick one: least stable of them? b)

---

a) VASP calculation (PBE-GGA) on a geometry-optimized Os2Ru2C structure.

Summary:
magnetic moment = 0.000 μB per atom
theoretical density = 13.311 Mg/m³

```
Os2Ru2C
1.0
-1.698 1.698 6.435
1.698 -1.698 6.435
1.698 1.698 -6.435
Os Ru C
2 2 1
Direct
0.096 0.096 0.000 Os
0.904 0.904 0.000 Os
0.250 0.750 0.500 Ru
0.750 0.250 0.500 Ru
0.500 0.500 0.000 C
```

---

b) VASP calculation (PBE-GGA) on a geometry-optimized Os2Ru2C structure.

Summary:
magnetic moment = 0.000 μB per atom
theoretical density = 13.190 Mg/m³

```
Os2Ru2C
1.0
7.394 0.000 0.000
0.000 7.394 0.000
0.000 0.000 2.738
Os Ru C
4 4 2
Direct
0.127 0.373 0.000 Os
0.373 0.873 0.000 Os
0.627 0.127 0.000 Os
0.873 0.627 0.000 Os
0.167 0.667 0.500 Ru
0.333 0.167 0.500 Ru
0.667 0.833 0.500 Ru
0.833 0.333 0.500 Ru
0.000 0.000 0.000 C
0.500 0.500 0.000 C
```

---

Quick one: least stable of them? a)